(1)
Entry from Alexandria via LeMat-Bulk: a relaxed structure of ScIrOs3 (PBE).

Results
Fermi-level density of states: 8.8 states/eV per cell
ΔE to the lowest computed polymorph: 0.0 meV per atom
Spin magnetization: 0.00 μB/cell
ΔH_f (0 K): 8.39 eV/f.u.

Structure (CIF):
```
data_ScIrOs3
_cell_length_a 4.713
_cell_length_b 4.713
_cell_length_c 4.713
_cell_angle_alpha 90.00
_cell_angle_beta 90.00
_cell_angle_gamma 90.00
_space_group_name_H-M_alt 'P m -3 m'
_space_group_IT_number 221
_space_group_name_Hall '-P 4 2 3'
loop_
_atom_site_label
_atom_site_fract_x
_atom_site_fract_y
_atom_site_fract_z
Sc1 0.000 0.000 0.000
Ir1 0.500 0.500 0.500
Os1 0.000 0.500 0.500
```

***

(2)
Entry from Alexandria via LeMat-Bulk: a relaxed structure of ThSnAu3 (PBE).

Results
Fermi-level density of states: 9.7 states/eV per cell
ΔE to the lowest computed polymorph: 0.0 meV per atom
Spin magnetization: 0.70 μB/cell
ΔH_f (0 K): -2.41 eV/f.u.

Structure (CIF):
```
data_ThSnAu3
_cell_length_a 3.490
_cell_length_b 27.245
_cell_length_c 4.787
_cell_angle_alpha 90.00
_cell_angle_beta 90.00
_cell_angle_gamma 90.00
_space_group_name_H-M_alt 'C m c m'
_space_group_IT_number 63
_space_group_name_Hall '-C 2c 2'
loop_
_atom_site_label
_atom_site_fract_x
_atom_site_fract_y
_atom_site_fract_z
Th1 0.000 0.076 0.250
Sn1 0.000 0.211 0.750
Au1 0.000 0.317 0.750
Au2 0.000 0.374 0.250
Au3 0.000 0.475 0.250
```

***

(3)
Entry from Alexandria via LeMat-Bulk: a relaxed structure of HfMo2W4 (PBE).

Results
Fermi-level density of states: 12.8 states/eV per cell
Spin magnetization: 0.00 μB/cell
ΔH_f (0 K): 14.46 eV/f.u.

Structure (CIF):
```
data_HfMo2W4
_cell_length_a 4.725
_cell_length_b 4.725
_cell_length_c 12.999
_cell_angle_alpha 90.00
_cell_angle_beta 90.00
_cell_angle_gamma 90.00
_space_group_name_H-M_alt 'I 4/m m m'
_space_group_IT_number 139
_space_group_name_Hall '-I 4 2'
loop_
_atom_site_label
_atom_site_fract_x
_atom_site_fract_y
_atom_site_fract_z
Hf1 0.000 0.000 0.000
Mo1 0.000 0.000 0.382
W1 0.000 0.000 0.200
W2 0.000 0.500 0.000
```

***

(4)
Entry from Alexandria via LeMat-Bulk: a relaxed structure of K2TcSe (PBE).

Results
Formation energy without anion corrections: 21.73 kJ/mol of atoms
Fermi-level density of states: 7.2 states/eV per cell
Spin magnetization: 4.74 μB/cell

Structure (CIF):
```
data_K2TcSe
_cell_length_a 4.658
_cell_length_b 5.911
_cell_length_c 10.023
_cell_angle_alpha 90.00
_cell_angle_beta 90.00
_cell_angle_gamma 90.00
_space_group_name_H-M_alt 'I m m 2'
_space_group_IT_number 44
_space_group_name_Hall 'I 2 -2'
loop_
_atom_site_label
_atom_site_fract_x
_atom_site_fract_y
_atom_site_fract_z
K1 0.000 0.000 0.000
K2 0.000 0.500 0.190
Tc1 0.000 0.000 0.379
Se1 0.000 0.500 0.824
```

***

(5)
Entry from Alexandria via LeMat-Bulk: a relaxed structure of Zr2BeW (PBE).

Results
Fermi-level density of states: 3.9 states/eV per cell
Spin magnetization: 0.00 μB/cell
ΔH_f (0 K): 0.41 eV/f.u.

Structure (CIF):
```
data_Zr2BeW
_cell_length_a 3.964
_cell_length_b 3.619
_cell_length_c 10.297
_cell_angle_alpha 90.00
_cell_angle_beta 90.00
_cell_angle_gamma 90.00
_space_group_name_H-M_alt 'A m m 2'
_space_group_IT_number 38
_space_group_name_Hall 'A 2 -2'
loop_
_atom_site_label
_atom_site_fract_x
_atom_site_fract_y
_atom_site_fract_z
Zr1 0.000 0.000 0.000
Zr2 0.500 0.000 0.298
Be1 0.500 0.000 0.579
W1 0.000 0.000 0.712
```

***

(6)
Entry from Alexandria via LeMat-Bulk: a relaxed structure of PrTmLuTh (PBE).

Results
Fermi-level density of states: 29.2 states/eV per cell
Spin magnetization: 0.00 μB/cell
ΔH_f (0 K): 0.43 eV/f.u.

Structure (CIF):
```
data_PrTmLuTh
_cell_length_a 8.009
_cell_length_b 8.009
_cell_length_c 8.009
_cell_angle_alpha 90.00
_cell_angle_beta 90.00
_cell_angle_gamma 90.00
_space_group_name_H-M_alt 'F -4 3 m'
_space_group_IT_number 216
_space_group_name_Hall 'F -4 2 3'
loop_
_atom_site_label
_atom_site_fract_x
_atom_site_fract_y
_atom_site_fract_z
Pr1 0.000 0.000 0.000
Tm1 0.250 0.250 0.750
Lu1 0.250 0.250 0.250
Th1 0.000 0.000 0.500
```

***

(7)
Entry from Alexandria via LeMat-Bulk: a relaxed structure of LiPm2Ga6 (PBE).

Results
Fermi-level density of states: 4.5 states/eV per cell
Spin magnetization: 0.00 μB/cell
ΔH_f (0 K): -4.77 eV/f.u.

Structure (CIF):
```
data_LiPm2Ga6
_cell_length_a 5.9468
_cell_length_b 5.9468
_cell_length_c 5.8192
_cell_angle_alpha 90.00
_cell_angle_beta 90.00
_cell_angle_gamma 120.00
_space_group_name_H-M_alt 'P -3 m 1'
_space_group_IT_number 164
_space_group_name_Hall '-P 3 2"'
loop_
_atom_site_label
_atom_site_fract_x
_atom_site_fract_y
_atom_site_fract_z
Li1 0.0000 0.0000 0.0000
Pm1 0.3333 0.6667 0.1508
Ga1 0.1772 0.3544 0.6712
```

***

(8)
Entry from Alexandria via LeMat-Bulk: a relaxed structure of BaCdInHg2 (PBE).

Results
Fermi-level density of states: 6.0 states/eV per cell
Spin magnetization: 0.00 μB/cell
ΔH_f (0 K): -1.81 eV/f.u.

Structure (CIF):
```
data_BaCdInHg2
_cell_length_a 4.799
_cell_length_b 4.799
_cell_length_c 12.881
_cell_angle_alpha 90.00
_cell_angle_beta 90.00
_cell_angle_gamma 90.00
_space_group_name_H-M_alt 'I -4 m 2'
_space_group_IT_number 119
_space_group_name_Hall 'I -4 -2'
loop_
_atom_site_label
_atom_site_fract_x
_atom_site_fract_y
_atom_site_fract_z
Ba1 0.000 0.000 0.000
Cd1 0.000 0.500 0.750
In1 0.000 0.500 0.250
Hg1 0.000 0.000 0.386
```